The following is a DFT calculation (GGA-PBE) of a relaxed structure of Th3Zn2Au4.

Lattice parameters (Å, degrees): 5.884 5.884 8.883 114.58 114.58 47.40
Element x y z (fractional)
Au 0.287 0.287 0.940
Th 0.340 0.340 0.330
Au 0.931 0.931 0.608
Zn 0.379 0.379 0.710
Zn 0.621 0.621 0.290
Au 0.713 0.713 0.060
Au 0.069 0.069 0.392
Th 0.660 0.660 0.670
Th 0.000 0.000 0.000

**Size of the total moment**: 0.0034 μB per atom
**Calculated total energy**: -4.841 eV/atom
**Energy of formation**: -0.637 eV/atom
**Symmetry**: C2/m (12)

The following is a DFT calculation (GGA-PBE) of a relaxed structure of LaPaTl.

Lattice parameters (Å, degrees): 5.264 5.264 5.264 60.00 60.00 60.00
Element x y z (fractional)
Tl 0.000 0.000 0.000
Pa 0.750 0.750 0.750
La 0.250 0.250 0.250

**Size of the total moment**: 0.7294 μB per atom
**Excess energy over the best structure of this formula in the dataset**: 0.0 meV per atom
**Calculated total energy**: -5.077 eV/atom
**Symmetry**: F-43m (216)

The following is a DFT calculation (GGA-PBE) of a relaxed structure of HfMgRe.

Lattice parameters (Å, degrees): 4.491 4.491 4.491 60.00 60.00 60.00
Element x y z (fractional)
Re 0.000 0.000 0.000
Hf 0.250 0.250 0.250
Mg 0.750 0.750 0.750

**Size of the total moment**: 0.0042 μB per atom
**Excess energy over the best structure of this formula in the dataset**: 0.0 meV per atom
**Calculated total energy**: -7.374 eV/atom
**Symmetry**: F-43m (216)

The following is a DFT calculation (GGA-PBE) of a relaxed structure of PrZn6O8.

Lattice parameters (Å, degrees): 6.186 6.186 6.186 60.00 60.00 60.00
Element x y z (fractional)
Zn 0.500 0.500 0.000
Pr 0.000 0.000 0.000
O 0.739 0.739 0.261
O 0.739 0.261 0.261
Zn 0.000 0.500 0.000
Zn 0.000 0.000 0.500
O 0.250 0.250 0.250
O 0.261 0.739 0.739
Zn 0.500 0.000 0.000
Zn 0.000 0.500 0.500
O 0.739 0.261 0.739
O 0.750 0.750 0.750
Zn 0.500 0.000 0.500
O 0.261 0.261 0.739
O 0.261 0.739 0.261

**Size of the total moment**: 0.0668 μB per atom
**Calculated total energy**: -4.738 eV/atom
**Symmetry**: Fm-3m (225)

The following is a DFT calculation (GGA-PBE) of a relaxed structure of Ni7W8.

Lattice parameters (Å, degrees): 9.249 9.249 4.945 90.00 90.00 90.00
Element x y z (fractional)
W 0.940 0.260 0.000
Ni 0.182 0.182 0.749
Ni 0.818 0.818 0.749
W 0.038 0.645 0.500
Ni 0.091 0.909 0.500
Ni 0.500 0.500 0.500
W 0.538 0.855 0.000
W 0.740 0.060 0.000
Ni 0.682 0.318 0.249
W 0.060 0.740 0.000
W 0.962 0.355 0.500
W 0.645 0.038 0.500
W 0.145 0.462 0.000
Ni 0.318 0.682 0.751
Ni 0.818 0.818 0.251
W 0.760 0.560 0.500
W 0.855 0.538 0.000
Ni 0.409 0.409 0.000
Ni 0.000 0.000 0.000
W 0.355 0.962 0.500
W 0.240 0.440 0.500
Ni 0.182 0.182 0.251
W 0.260 0.940 0.000
W 0.440 0.240 0.500
Ni 0.318 0.682 0.249
W 0.462 0.145 0.000
Ni 0.909 0.091 0.500
Ni 0.591 0.591 0.000
Ni 0.682 0.318 0.751
W 0.560 0.760 0.500

**Size of the total moment**: 0.0004 μB per atom
**Excess energy over the best structure of this formula in the dataset**: 107.0 meV per atom
**Calculated total energy**: -9.267 eV/atom
**Energy of formation**: 0.243 eV/atom
**Symmetry**: P4_2/mnm (136)

The following is a DFT calculation (GGA-PBE) of a relaxed structure of YFeGePt.

Lattice parameters (Å, degrees): 4.614 4.614 4.614 60.00 60.00 60.00
Element x y z (fractional)
Y 0.500 0.500 0.500
Pt 0.250 0.250 0.250
Fe 0.750 0.750 0.750
Ge 0.000 0.000 0.000

**Size of the total moment**: 0.5253 μB per atom
**Excess energy over the best structure of this formula in the dataset**: 0.0 meV per atom
**Calculated total energy**: -6.686 eV/atom
**Symmetry**: F-43m (216)

The following is a DFT calculation (GGA-PBE) of a relaxed structure of Gd3HoEr2Te2Pt.

Lattice parameters (Å, degrees): 3.981 8.388 8.388 120.05 90.00 90.00
Element x y z (fractional)
Pt 0.500 0.999 0.999
Gd 0.500 0.000 0.402
Te 0.000 0.667 0.333
Gd 0.500 0.402 0.000
Er 0.000 0.000 0.757
Er 0.000 0.757 0.000
Te 0.000 0.333 0.667
Gd 0.500 0.599 0.599
Ho 0.000 0.244 0.244

**Size of the total moment**: 0.0477 μB per atom
**Calculated total energy**: -5.377 eV/atom
**Symmetry**: Amm2 (38)

The following is a DFT calculation (GGA-PBE) of a relaxed structure of Re2Ni11.

Lattice parameters (Å, degrees): 8.645 8.645 8.645 30.78 30.78 30.78
Element x y z (fractional)
Re 0.166 0.166 0.166
Ni 0.909 0.413 0.909
Ni 0.413 0.909 0.909
Ni 0.091 0.587 0.091
Ni 0.452 0.452 0.452
Ni 0.650 0.650 0.650
Re 0.834 0.834 0.834
Ni 0.548 0.548 0.548
Ni 0.909 0.909 0.413
Ni 0.350 0.350 0.350
Ni 0.091 0.091 0.587
Ni 0.587 0.091 0.091
Ni 0.000 0.000 0.000

**Size of the total moment**: 0.2174 μB per atom
**Excess energy over the best structure of this formula in the dataset**: 4.0 meV per atom
**Calculated total energy**: -6.515 eV/atom
**Energy of formation**: 0.108 eV/atom
**Symmetry**: R-3m (166)

- Among the records above, which one has the lowest calculated total energy?
  Ni7W8